Here is NbFeO2 after structural relaxation from the Alexandria database. Energies are from PBE+U.

Cell and atoms, written as extended XYZ:
```
4
Lattice="0.000 2.735 2.735 2.735 0.000 2.735 2.735 2.735 0.000" Properties=species:S:1:pos:R:3 pbc="T T T"
Nb 2.735 2.735 2.735
O 4.102 4.102 4.102
O 1.367 1.367 1.367
Fe 0.000 0.000 0.000
```

Calculated volume ... 10.22 Å³/atom
Uncorrected energy ... -7.30 eV per atom